A plane-wave DFT calculation with PBE was carried out for a relaxed BeCd2I crystal.

The space group is Fm-3m (No. 225) and the conventional cell measures 7.538, 7.538 and 7.538 Å, with angles of 90.00, 90.00 and 90.00 degrees. The distinct sites, in fractional coordinates, are Be at (0.000, 0.000, 0.000), Cd at (0.250, 0.250, 0.250) and I at (0.000, 0.000, 0.500).

Its density of states at the Fermi level is 0.760 states/eV/atom. The calculation puts the energy above the most stable polymorph in this dataset at 0.414 eV per atom. The energy relative to the elements, uncorrected comes out at 2.98 eV per formula unit.